(1)
The following is a meta-GGA SCAN calculation of TiAgSn3 at its PBEsol-relaxed geometry, from Alexandria via LeMat-Bulk.

Computed properties:
**V**: 140.2 Å³/f.u.

abc: 5.195 5.195 5.195
angles: 90.00 90.00 90.00
Space group Pm-3m (No. 221)
Inequivalent atoms, fractional coordinates:
Ti1 0.000 0.000 0.000 [1 per cell]
Ag1 0.500 0.500 0.500 [1 per cell]
Sn1 0.000 0.500 0.500 [3 per cell]

***

(2)
The following is a meta-GGA SCAN calculation of Cs2CaYSn at its PBEsol-relaxed geometry, from Alexandria via LeMat-Bulk.

Computed properties:
**V**: 268.8 Å³/f.u.

abc: 6.499 6.499 6.365
angles: 90.00 90.00 90.00
Space group P4/mmm (No. 123)
Inequivalent atoms, fractional coordinates:
Cs1 0.000 0.500 0.000 [2 per cell]
Ca1 0.000 0.000 0.500 [1 per cell]
Y1 0.000 0.000 0.000 [1 per cell]
Sn1 0.500 0.500 0.500 [1 per cell]

***

no.,DFT total energy (eV per atom),ΔE_f (eV per atom),spin magnetization (μB/cell)
1,-30.255,0.777,2.6
2,-28.836,0.974,1.5